Record 1
A geometry-optimized YGaGe structure. Source: the Alexandria database, functional PBE.

a b c (Å): 4.1443 4.1443 4.3164
angles (deg): 90.00 90.00 120.00
Space group P3m1 (No. 156)
One atom of each set of equivalent atoms:
Y 0.0000 0.0000 0.0000 x1
Ga 0.3333 0.6667 0.4049 x1
Ge 0.6667 0.3333 0.5852 x1

## Properties
The calculation puts the uncorrected energy at -5.35 eV per atom. Its magnetization is 0.000 μB/atom. Its density of states at the Fermi level is 0.47 states/eV per cell.

Record 2
A geometry-optimized HoNiSnPd structure. Source: the Alexandria database, functional PBE.

a b c (Å): 6.646 6.646 6.646
angles (deg): 90.00 90.00 90.00
Space group F-43m (No. 216)
One atom of each set of equivalent atoms:
Ho 0.000 0.000 0.000 x4
Ni 0.250 0.250 0.250 x4
Sn 0.000 0.000 0.500 x4
Pd 0.250 0.250 0.750 x4

## Properties
The calculation puts the uncorrected energy at -5.54 eV per atom. Its magnetization is 0.000 μB/atom. Its density of states at the Fermi level is 12.96 states/eV per cell.

Record 3
A geometry-optimized Pm3Ho2Zn2 structure. Source: the Alexandria database, functional PBE.

a b c (Å): 12.941 3.739 9.163
angles (deg): 90.00 115.60 90.00
Space group C2/m (No. 12)
One atom of each set of equivalent atoms:
Pm 0.000 0.000 0.000 x2
Pm 0.108 0.000 0.438 x4
Ho 0.152 0.500 0.816 x4
Zn 0.182 0.500 0.223 x4

## Properties
The calculation puts the uncorrected energy at -3.84 eV per atom. Its magnetization is 0.000 μB/atom. Its density of states at the Fermi level is 16.29 states/eV per cell. The energy above the most stable polymorph in this dataset is 0.036 eV/atom.

Record 4
A geometry-optimized Cs2Te2Se3 structure. Source: the Alexandria database, functional PBE.

a b c (Å): 15.467 5.018 7.708
angles (deg): 90.00 98.66 90.00
Space group C2/m (No. 12)
One atom of each set of equivalent atoms:
Cs 0.148 0.000 0.215 x4
Te 0.082 0.500 0.702 x4
Se 0.000 0.500 0.000 x2
Se 0.151 0.000 0.711 x4

## Properties
The value obtained for the formation energy (no corrections) is -610 meV/atom. The calculation puts the uncorrected energy at -3.25 eV per atom. Its magnetization is 0.000 μB/atom. Its density of states at the Fermi level is 4.46 states/eV per cell. The energy above the most stable polymorph in this dataset is 0.000 eV/atom.

Q: Which formula does entry 1 have?
A: YGaGe

Q: Look up the uncorrected energy of the third one.
A: -3.84 eV per atom

Q: uncorrected energy of number 1 (YGaGe)?
A: -5.35 eV per atom